(1)
VASP calculation (PBE-GGA) on an optimized crystal structure of BaZnRuF2.

Properties
- total magnetic moment (μB per formula unit) = 1.05
- VASP energy (eV/atom) = -4.25
- SG = No. 123

abc: 4.600 4.768 4.600
angles: 90.00 90.00 90.00
Element x y z (fractional)
F 0.000 0.000 0.500
F 0.500 0.000 0.000
Zn 0.000 0.500 0.000
Ba 0.500 0.500 0.500
Ru 0.000 0.000 0.000


(2)
VASP calculation (PBE-GGA) on an optimized crystal structure of BaS5F.

Properties
- total magnetic moment (μB per formula unit) = 0.00
- VASP energy (eV/atom) = -4.42
- SG = No. 1

abc: 5.839 4.559 8.542
angles: 107.78 107.73 88.60
Element x y z (fractional)
F 0.782 0.045 0.493
S 0.157 0.475 0.107
S 0.903 0.803 0.084
S 0.394 0.399 0.751
Ba 0.832 0.617 0.621
S 0.079 0.231 0.257
S 0.383 0.962 0.749


(3)
VASP calculation (PBE-GGA) on an optimized crystal structure of Ba3SF3.

Properties
- total magnetic moment (μB per formula unit) = 0.00
- VASP energy (eV/atom) = -4.95
- SG = No. 221

abc: 5.908 5.908 5.908
angles: 90.00 90.00 90.00
Element x y z (fractional)
S 0.500 0.500 0.500
Ba 0.500 0.000 0.500
Ba 0.500 0.500 0.000
F 0.000 0.000 0.500
F 0.500 0.000 0.000
F 0.000 0.500 0.000
Ba 0.000 0.500 0.500


(4)
VASP calculation (PBE-GGA) on an optimized crystal structure of BaSF3.

Properties
- total magnetic moment (μB per formula unit) = 0.00
- VASP energy (eV/atom) = -4.14
- SG = No. 221

abc: 4.530 4.530 4.530
angles: 90.00 90.00 90.00
Element x y z (fractional)
F 0.000 0.500 0.000
F 0.000 0.000 0.500
S 0.000 0.000 0.000
Ba 0.500 0.500 0.500
F 0.500 0.000 0.000


(5)
VASP calculation (PBE-GGA) on an optimized crystal structure of BaS4F.

Properties
- total magnetic moment (μB per formula unit) = 0.00
- VASP energy (eV/atom) = -4.56
- SG = No. 11

abc: 6.328 4.965 9.938
angles: 89.00 90.00 89.98
Element x y z (fractional)
Ba 0.250 0.129 0.759
Ba 0.750 0.871 0.241
F 0.750 0.368 0.264
S 0.250 0.107 0.099
S 0.250 0.486 0.368
S 0.250 0.492 0.146
S 0.750 0.514 0.632
S 0.750 0.508 0.854
S 0.750 0.893 0.901
F 0.250 0.632 0.736
S 0.250 0.102 0.418
S 0.750 0.898 0.582


(6)
VASP calculation (PBE-GGA) on an optimized crystal structure of BaS3F.

Properties
- total magnetic moment (μB per formula unit) = 0.00
- VASP energy (eV/atom) = -3.64
- SG = No. 221

abc: 4.682 4.682 4.682
angles: 90.00 90.00 90.00
Element x y z (fractional)
S 0.000 0.000 0.500
F 0.000 0.000 0.000
S 0.500 0.000 0.000
Ba 0.500 0.500 0.500
S 0.000 0.500 0.000


(7)
VASP calculation (PBE-GGA) on an optimized crystal structure of BaS8F2.

Properties
- total magnetic moment (μB per formula unit) = 0.00
- VASP energy (eV/atom) = -4.33
- SG = No. 2

abc: 9.975 10.011 34.930
angles: 121.26 165.20 45.71
Element x y z (fractional)
F 0.785 0.710 0.481
S 0.261 0.321 0.701
S 0.739 0.679 0.299
S 0.836 0.032 0.350
S 0.164 0.968 0.650
F 0.215 0.290 0.519
Ba 0.000 0.000 0.000
S 0.727 0.474 0.029
S 0.843 0.291 0.626
S 0.157 0.709 0.374
S 0.273 0.526 0.971


(8)
VASP calculation (PBE-GGA) on an optimized crystal structure of Ba3SF.

Properties
- total magnetic moment (μB per formula unit) = 1.86
- VASP energy (eV/atom) = -3.63
- SG = No. 221

abc: 5.401 5.401 5.401
angles: 90.00 90.00 90.00
Element x y z (fractional)
F 0.000 0.000 0.000
Ba 0.500 0.000 0.000
S 0.500 0.500 0.500
Ba 0.000 0.500 0.000
Ba 0.000 0.000 0.500


(9)
VASP calculation (PBE-GGA) on an optimized crystal structure of BaS3F.

Properties
- total magnetic moment (μB per formula unit) = 5.00
- VASP energy (eV/atom) = -2.87
- SG = No. 221

abc: 6.139 6.139 6.139
angles: 90.00 90.00 90.00
Element x y z (fractional)
F 0.500 0.500 0.500
S 0.500 0.000 0.000
S 0.000 0.500 0.000
S 0.000 0.000 0.500
Ba 0.000 0.000 0.000


(10)
VASP calculation (PBE-GGA) on an optimized crystal structure of BaSbS2F.

Properties
- total magnetic moment (μB per formula unit) = 0.00
- VASP energy (eV/atom) = -4.92
- SG = No. 129

abc: 4.122 4.122 14.452
angles: 90.00 90.00 90.00
Element x y z (fractional)
Ba 0.500 0.000 0.615
S 0.500 0.000 0.890
F 0.000 0.000 0.500
Sb 0.500 0.000 0.124
S 0.500 0.000 0.291
S 0.000 0.500 0.709
S 0.000 0.500 0.110
Sb 0.000 0.500 0.876
Ba 0.000 0.500 0.385
F 0.500 0.500 0.500